[1]
Here is a geometry-optimized SrNbCoB2 structure from the Alexandria database. Energies are from GGA-PBE.

formation energy	3.287	eV per atom
space-group type	No. 123

Cell and atoms, written as CIF:
```
data_SrNbCoB2
_chemical_formula_sum 'Sr1 Nb1 Co1 B2'
_space_group_name_H-M_alt 'P 1'
_space_group_IT_number 1
_space_group_name_Hall 'P 1'
_cell_length_a 4.370
_cell_length_b 4.370
_cell_length_c 5.161
_cell_angle_alpha 90.00
_cell_angle_beta 90.00
_cell_angle_gamma 90.00
loop_
_atom_site_label
_atom_site_fract_x
_atom_site_fract_y
_atom_site_fract_z
_atom_site_occupancy
Sr1 0.000 0.000 0.000 1
Nb1 0.000 0.000 0.500 1
Co1 0.500 0.500 0.500 1
B1 0.000 0.500 0.000 1
B2 0.500 0.000 0.000 1
```



[2]
Here is a geometry-optimized V2TeSe structure from the Alexandria database. Energies are from GGA-PBE.

energy above the most stable polymorph in this dataset	0	meV per atom
energy relative to the elements, uncorrected	-253.0	meV/atom
space-group type	No. 156

Cell and atoms, written as CIF:
```
data_V2TeSe
_chemical_formula_sum 'V2 Te1 Se1'
_space_group_name_H-M_alt 'P 1'
_space_group_IT_number 1
_space_group_name_Hall 'P 1'
_cell_length_a 4.164
_cell_length_b 4.164
_cell_length_c 5.606
_cell_angle_alpha 90.00
_cell_angle_beta 90.00
_cell_angle_gamma 120.00
loop_
_atom_site_label
_atom_site_fract_x
_atom_site_fract_y
_atom_site_fract_z
_atom_site_occupancy
V1 0.000 0.000 0.000 1
V2 0.333 0.667 0.206 1
Te1 0.333 0.667 0.730 1
Se1 0.667 0.333 0.239 1
```



[3]
Here is a geometry-optimized Sr2Cu2Rh structure from the Alexandria database. Energies are from GGA-PBE.

energy above the most stable polymorph in this dataset	234	meV per atom
formation energy	0.072	eV per atom
space-group type	No. 139

Cell and atoms, written as CIF:
```
data_Sr2Cu2Rh
_chemical_formula_sum 'Sr2 Cu2 Rh1'
_space_group_name_H-M_alt 'P 1'
_space_group_IT_number 1
_space_group_name_Hall 'P 1'
_cell_length_a 5.518
_cell_length_b 5.518
_cell_length_c 5.518
_cell_angle_alpha 116.19
_cell_angle_beta 116.19
_cell_angle_gamma 96.73
loop_
_atom_site_label
_atom_site_fract_x
_atom_site_fract_y
_atom_site_fract_z
_atom_site_occupancy
Sr1 0.250 0.750 0.500 1
Sr2 0.750 0.250 0.500 1
Cu1 0.159 0.159 0.000 1
Cu2 0.841 0.841 0.000 1
Rh1 0.500 0.500 0.000 1
```



[4]
Here is a geometry-optimized CaZr2P structure from the Alexandria database. Energies are from GGA-PBE.

formation energy	-0.415	eV per atom
space-group type	No. 8

Cell and atoms, written as CIF:
```
data_CaZr2P
_chemical_formula_sum 'Ca1 Zr2 P1'
_space_group_name_H-M_alt 'P 1'
_space_group_IT_number 1
_space_group_name_Hall 'P 1'
_cell_length_a 5.672
_cell_length_b 5.672
_cell_length_c 5.997
_cell_angle_alpha 119.92
_cell_angle_beta 119.92
_cell_angle_gamma 35.79
loop_
_atom_site_label
_atom_site_fract_x
_atom_site_fract_y
_atom_site_fract_z
_atom_site_occupancy
Ca1 0.000 0.000 0.000 1
Zr1 0.629 0.629 0.620 1
Zr2 0.830 0.830 0.350 1
P1 0.266 0.266 0.990 1
```



Asked for D(E_F) across the records above, the calculation gives 1.66; 0.75; 0.45; 0.96 states/eV/atom in order.
Asked for density across the records above, the calculation gives 4.40; 6.09; 5.40; 4.38 Mg/m³ in order.